VASP calculation (PBE) on an optimized crystal structure of RbBiN2O.

Results
The calculation puts the spin magnetization at 1.0 μB/f.u. The value obtained for the density of states at the Fermi level is 4.84 states/eV per cell. The calculation puts the formation energy without anion corrections at 2.148 eV/atom. Its calculated volume is 86 Å³/cell.

a = 4.5143 Å, b = 4.5143 Å, c = 4.2075 Å
α = 90.00°, β = 90.00°, γ = 90.00°
Last column: nearest neighbours and their distance in Å.
Space group P4/mmm (No. 123)
One atom of each set of equivalent atoms:
Rb 0.0000 0.0000 0.0000 (multiplicity 1)  2 O 2.10, 4 N 2.26
Bi 0.5000 0.5000 0.5000 (multiplicity 1)  8 N 3.09, 4 O 3.19
N 0.0000 0.5000 0.0000 (multiplicity 2)  2 Rb 2.26
O 0.0000 0.0000 0.5000 (multiplicity 1)  2 Rb 2.10